DFT (GGA-PBEsol) results for a relaxed structure of AlCo2. Values from VASP.

Properties
The value obtained for the total energy is -6.828 eV per atom. The value obtained for the density of states at the Fermi level is 5.54 states/eV/cell.

```
&SYSTEM
  ibrav = 0, nat = 6, ntyp = 2
/
ATOMIC_SPECIES
Co 58.93 Co.upf
Al 26.98 Al.upf
CELL_PARAMETERS angstrom
2.786 0.000 0.000
0.000 3.966 0.000
-1.393 0.000 6.029
ATOMIC_POSITIONS angstrom
Co 1.393 0.992 4.978
Co 0.000 2.975 1.050
Co 0.000 0.992 2.999
Co 1.393 2.975 3.030
Al 1.393 0.992 0.990
Al 0.000 2.975 5.039
```